[1]
A plane-wave DFT calculation with GGA-PBE was carried out for a relaxed GaOs2S crystal.

The value obtained for the formation energy without anion corrections is 715 meV/atom. The value obtained for the relative energy among the computed polymorphs is 190 meV per atom.

a b c (Å): 5.5950 5.5950 9.8313
angles (deg): 90.00 90.00 90.00
Closest atoms and distances in Å follow each position.
Space group I-42d (No. 122)
Symmetry-distinct sites (fractional):
Ga (0.0000, 0.0000, 0.0000) [4 per cell]  4 Os 2.47
Os (0.2101, 0.2500, 0.6250) [8 per cell]  2 S 2.20
S (0.0000, 0.0000, 0.5000) [4 per cell]  4 Os 2.20

***

[2]
A plane-wave DFT calculation with GGA-PBE was carried out for a relaxed InHgOs2 crystal.

The calculation puts the formation enthalpy at 0 K at 0.9669 eV/atom. The value obtained for the relative energy among the computed polymorphs is 627 meV per atom.

a b c (Å): 3.2531 3.2531 6.5228
angles (deg): 90.00 90.00 90.00
Closest atoms and distances in Å follow each position.
Space group P4/mmm (No. 123)
Symmetry-distinct sites (fractional):
In (0.0000, 0.0000, 0.0000) [1 per cell]  8 Os 2.79
Hg (0.0000, 0.0000, 0.5000) [1 per cell]  8 Os 2.85
Os (0.5000, 0.5000, 0.2418) [2 per cell]  4 In 2.79, 4 Hg 2.85

***

[3]
A plane-wave DFT calculation with GGA-PBE was carried out for a relaxed Pm4HoIn4 crystal.

The calculation puts the formation enthalpy at 0 K at -0.2881 eV/atom.

a b c (Å): 9.2009 9.2009 6.2348
angles (deg): 90.00 90.00 90.00
Closest atoms and distances in Å follow each position.
Space group P4_2/n (No. 86, origin choice 2)
Symmetry-distinct sites (fractional):
Pm (0.0797, 0.8223, 0.1208) [8 per cell]  1 Ho 3.21, 5 In 3.24-3.48, 1 Pm 3.40
Ho (0.2500, 0.2500, 0.7500) [2 per cell]  4 In 3.15, 4 Pm 3.21
In (0.0494, 0.1513, 0.3668) [8 per cell]  1 Ho 3.15, 5 Pm 3.24-3.48, 3 In 3.25-3.37